[1]
DFT (PBE) results for crystalline TaZn2Pt at its relaxed geometry.

Summary:
**Crystal system**: orthorhombic
**Energy relative to the elements**: -0.082 eV per atom
**Electronic total energy**: -20.77 eV per cell
**Symmetry**: Cmmm
**E above lowest polymorph**: 5.60 kcal/mol of atoms

Lattice parameters (Å, degrees): 5.0756 5.0756 2.7310 90.00 90.00 115.20
Last column: nearest neighbours and their distance in Å.
Sites, in units of the cell vectors:
Pt  0.5000  0.0000  0.5000  2 Ta 2.72, 2 Pt 2.73, 8 Zn 2.88
Ta  0.0000  0.5000  0.5000  2 Pt 2.72, 2 Ta 2.73, 8 Zn 2.88
Zn  0.0000  0.0000  0.0000  4 Zn 2.72-2.73, 4 Ta 2.88, 4 Pt 2.88
Zn  0.5000  0.5000  0.0000  4 Zn 2.72-2.73, 4 Pt 2.88, 4 Ta 2.88


[2]
DFT (PBE) results for crystalline TaZnPt2 at its relaxed geometry.

Summary:
**Crystal system**: tetragonal
**Energy relative to the elements**: -0.326 eV per atom
**Electronic total energy**: -26.51 eV per cell
**Symmetry**: P4mm

Lattice parameters (Å, degrees): 2.8582 2.8582 7.7414 90.00 90.00 90.00
Last column: nearest neighbours and their distance in Å.
Sites, in units of the cell vectors:
Pt  0.0000  0.0000  0.9825  4 Zn 2.64, 8 Pt 2.86-2.91
Pt  0.5000  0.5000  0.2532  4 Ta 2.79, 8 Pt 2.86-2.91
Ta  0.0000  0.0000  0.5009  4 Pt 2.79, 4 Ta 2.86, 4 Zn 2.87
Zn  0.5000  0.5000  0.7634  4 Pt 2.64, 4 Zn 2.86, 4 Ta 2.87


[3]
DFT (PBE) results for crystalline TaZnPt2 at its relaxed geometry.

Summary:
**Crystal system**: orthorhombic
**Energy relative to the elements**: -0.502 eV per atom
**Electronic total energy**: -27.22 eV per cell
**Symmetry**: Cmmm

Lattice parameters (Å, degrees): 4.8334 4.8334 2.8224 90.00 90.00 106.42
Last column: nearest neighbours and their distance in Å.
Sites, in units of the cell vectors:
Pt  0.0000  0.0000  0.0000  4 Ta 2.80, 4 Zn 2.80, 4 Pt 2.82-2.89
Pt  0.5000  0.5000  0.0000  4 Zn 2.80, 4 Ta 2.80, 4 Pt 2.82-2.89
Ta  0.5000  0.0000  0.5000  8 Pt 2.80, 2 Ta 2.82, 2 Zn 2.89
Zn  0.0000  0.5000  0.5000  8 Pt 2.80, 2 Zn 2.82, 2 Ta 2.89


[4]
DFT (PBE) results for crystalline Ta2ZnPt at its relaxed geometry.

Summary:
**Crystal system**: monoclinic
**Energy relative to the elements**: -0.149 eV per atom
**Electronic total energy**: -31.62 eV per cell
**Symmetry**: C2/m
**E above lowest polymorph**: 3.74 kcal/mol of atoms

Lattice parameters (Å, degrees): 5.0357 5.0357 4.9148 80.40 80.40 32.98
Last column: nearest neighbours and their distance in Å.
Sites, in units of the cell vectors:
Pt  0.2500  0.2500  0.2500  4 Zn 2.84, 6 Ta 2.85-2.94, 2 Pt 2.86
Ta  0.9951  0.9951  0.9997  6 Ta 2.83-2.86, 3 Zn 2.85-2.93, 3 Pt 2.85-2.94
Ta  0.5049  0.5049  0.5003  6 Ta 2.83-2.86, 3 Zn 2.85-2.93, 3 Pt 2.85-2.94
Zn  0.7500  0.7500  0.7500  4 Pt 2.84, 6 Ta 2.85-2.93, 2 Zn 2.86


[5]
DFT (PBE) results for crystalline TaZnPt at its relaxed geometry.

Summary:
**Crystal system**: hexagonal
**Energy relative to the elements**: -0.445 eV per atom
**Electronic total energy**: -20.50 eV per cell
**Symmetry**: P-6m2

Lattice parameters (Å, degrees): 4.4231 4.4231 2.7774 90.00 90.00 120.00
Last column: nearest neighbours and their distance in Å.
Sites, in units of the cell vectors:
Zn  0.6667  0.3333  0.8337  3 Pt 2.55, 2 Zn 2.78
Pt  0.0000  0.0000  0.8331  3 Zn 2.55, 2 Pt 2.78
Ta  0.3333  0.6667  0.3332  2 Ta 2.78, 6 Zn 2.91, 6 Pt 2.91


[6]
DFT (PBE) results for crystalline TaZnPt2 at its relaxed geometry.

Summary:
**Crystal system**: tetragonal
**Energy relative to the elements**: -0.093 eV per atom
**Electronic total energy**: -51.16 eV per cell
**Symmetry**: I-42d

Lattice parameters (Å, degrees): 7.1045 7.1045 5.7359 51.73 51.73 90.00
Last column: nearest neighbours and their distance in Å.
Sites, in units of the cell vectors:
Zn  0.5000  0.5000  0.0000  4 Pt 2.61, 2 Ta 2.77
Zn  0.2500  0.7500  0.5000  4 Pt 2.61, 2 Ta 2.77
Pt  0.6262  0.1250  0.2500  2 Ta 2.60, 2 Zn 2.61, 2 Pt 2.77
Pt  0.1238  0.6250  0.2500  2 Ta 2.60, 2 Zn 2.61, 2 Pt 2.77
Pt  0.3750  0.3738  0.7500  2 Ta 2.60, 2 Zn 2.61, 2 Pt 2.77
Pt  0.8750  0.8762  0.7500  2 Ta 2.60, 2 Zn 2.61, 2 Pt 2.77
Ta  0.0000  0.0000  0.0000  4 Pt 2.60, 2 Zn 2.77
Ta  0.7500  0.2500  0.5000  4 Pt 2.60, 2 Zn 2.77


[7]
DFT (PBE) results for crystalline TaZnPt at its relaxed geometry.

Summary:
**Crystal system**: tetragonal
**Energy relative to the elements**: -0.389 eV per atom
**Electronic total energy**: -20.33 eV per cell
**Symmetry**: I4mm

Lattice parameters (Å, degrees): 6.0413 6.0416 2.8867 76.17 76.18 27.64
Last column: nearest neighbours and their distance in Å.
Sites, in units of the cell vectors:
Pt  0.0045  0.0045  0.9955  4 Zn 2.71, 4 Ta 2.81, 4 Pt 2.89
Ta  0.3343  0.3343  0.6657  4 Pt 2.81, 4 Zn 2.84, 4 Ta 2.89
Zn  0.6612  0.6612  0.3388  4 Pt 2.71, 4 Ta 2.84, 4 Zn 2.89


[8]
DFT (PBE) results for crystalline Ta2ZnPt at its relaxed geometry.

Summary:
**Crystal system**: monoclinic
**Energy relative to the elements**: -0.292 eV per atom
**Electronic total energy**: -32.19 eV per cell
**Symmetry**: C2/m
**E above lowest polymorph**: 0.46 kcal/mol of atoms

Lattice parameters (Å, degrees): 6.3670 4.9831 2.8117 90.15 63.53 120.87
Last column: nearest neighbours and their distance in Å.
Sites, in units of the cell vectors:
Pt  0.5000  0.5000  0.0000  2 Pt 2.81, 2 Zn 2.85, 8 Ta 2.86
Ta  0.0000  0.0000  0.0000  4 Ta 2.81-2.85, 4 Pt 2.86, 4 Zn 2.86
Ta  0.5000  0.0000  0.5000  4 Ta 2.81-2.85, 4 Zn 2.86, 4 Pt 2.86
Zn  0.0000  0.5000  0.5000  2 Zn 2.81, 2 Pt 2.85, 8 Ta 2.86


[9]
DFT (PBE) results for crystalline TaZn2Pt at its relaxed geometry.

Summary:
**Crystal system**: tetragonal
**Energy relative to the elements**: 0.155 eV per atom
**Electronic total energy**: -39.64 eV per cell
**Symmetry**: I-42d
**E above lowest polymorph**: 11.07 kcal/mol of atoms

Lattice parameters (Å, degrees): 7.1507 7.1507 5.7098 51.23 51.23 90.00
Last column: nearest neighbours and their distance in Å.
Sites, in units of the cell vectors:
Zn  0.6420  0.1250  0.2500  2 Pt 2.53, 2 Zn 2.66, 2 Ta 2.70
Zn  0.1080  0.6250  0.2500  2 Pt 2.53, 2 Zn 2.66, 2 Ta 2.70
Zn  0.3750  0.3580  0.7500  2 Pt 2.53, 2 Zn 2.66, 2 Ta 2.70
Zn  0.8750  0.8920  0.7500  2 Pt 2.53, 2 Zn 2.66, 2 Ta 2.70
Pt  0.0000  0.0000  0.0000  4 Zn 2.53, 2 Ta 2.65
Pt  0.7500  0.2500  0.5000  4 Zn 2.53, 2 Ta 2.65
Ta  0.5000  0.5000  0.0000  2 Pt 2.65, 4 Zn 2.70
Ta  0.2500  0.7500  0.5000  2 Pt 2.65, 4 Zn 2.70


[10]
DFT (PBE) results for crystalline TaZnPt2 at its relaxed geometry.

Summary:
**Crystal system**: monoclinic
**Energy relative to the elements**: -0.296 eV per atom
**Electronic total energy**: -26.39 eV per cell
**Symmetry**: P2/m

Lattice parameters (Å, degrees): 2.8313 5.1526 5.4528 53.68 90.00 90.00
Last column: nearest neighbours and their distance in Å.
Sites, in units of the cell vectors:
Pt  0.0000  0.0000  0.0000  2 Zn 2.73, 4 Ta 2.78, 6 Pt 2.83-2.94
Pt  0.5000  0.5000  0.0000  2 Ta 2.73, 4 Zn 2.78, 6 Pt 2.83-2.94
Ta  0.5000  0.5000  0.5000  6 Pt 2.73-2.78, 2 Ta 2.83, 4 Zn 2.94
Zn  0.0000  0.0000  0.5000  6 Pt 2.73-2.78, 2 Zn 2.83, 4 Ta 2.94


[11]
DFT (PBE) results for crystalline Ta2ZnPt at its relaxed geometry.

Summary:
**Crystal system**: orthorhombic
**Energy relative to the elements**: -0.198 eV per atom
**Electronic total energy**: -31.81 eV per cell
**Symmetry**: Imm2
**E above lowest polymorph**: 2.61 kcal/mol of atoms

Lattice parameters (Å, degrees): 5.4869 5.4869 5.4869 148.55 128.31 61.77
Last column: nearest neighbours and their distance in Å.
Sites, in units of the cell vectors:
Pt  0.2531  0.7531  0.5000  2 Zn 2.67, 6 Ta 2.76-2.82, 2 Pt 2.97
Ta  0.0065  0.0065  0.0000  2 Pt 2.76, 4 Ta 2.82-2.97, 4 Zn 2.82
Ta  0.7524  0.2524  0.5000  4 Pt 2.82, 4 Ta 2.82-2.97, 2 Zn 2.90
Zn  0.4881  0.4881  0.0000  2 Pt 2.67, 6 Ta 2.82-2.90, 2 Zn 2.97


[12]
DFT (PBE) results for crystalline Ta2ZnPt at its relaxed geometry.

Summary:
**Crystal system**: tetragonal
**Energy relative to the elements**: -0.279 eV per atom
**Electronic total energy**: -32.14 eV per cell
**Symmetry**: I4/mmm
**E above lowest polymorph**: 0.75 kcal/mol of atoms

Lattice parameters (Å, degrees): 4.9878 4.9878 4.9878 132.81 132.73 69.01
Last column: nearest neighbours and their distance in Å.
Sites, in units of the cell vectors:
Pt  0.2500  0.7500  0.5000  4 Zn 2.83, 8 Ta 2.87
Ta  0.0000  0.0000  0.0000  4 Ta 2.83, 4 Pt 2.87, 4 Zn 2.87
Ta  0.5000  0.5000  0.0000  4 Ta 2.83, 4 Pt 2.87, 4 Zn 2.87
Zn  0.7500  0.2500  0.5000  4 Pt 2.83, 8 Ta 2.87